## LaCuBr (PBE)

Data for a geometry-optimized LaCuBr structure.

DOS at the Fermi energy, states/eV/f.u.: 4.26
ΔE_f (raw), meV per atom: -496.5

POSCAR file:
```
LaCuBr
1.0
-1.185 1.471 4.635
-3.567 -2.409 2.555
1.227 -2.856 3.923
Br Cu La
1 1 1
Cartesian
0.000 0.000 0.000
-1.762 -1.898 5.556
-2.643 -2.846 8.334
```